Here is a geometry-optimized VPd14Au structure from Alexandria. Energies are from PBE-GGA.

## Properties
Total energy ... -86.310 eV per cell
Size of the total moment ... 0.22 μB/f.u.
Symmetry ... No. 123
N(E_F) ... 28.52 states/eV/f.u.

Unit cell a=5.632 b=5.632 c=7.764 alpha=90.00 beta=90.00 gamma=90.00
Fractional positions:
V: 0.000 0.000 0.000
Pd: 0.000 0.000 0.500
Pd: 0.000 0.500 0.000
Pd: 0.000 0.500 0.500
Pd: 0.244 0.244 0.245
Pd: 0.244 0.244 0.755
Pd: 0.244 0.756 0.245
Pd: 0.244 0.756 0.755
Pd: 0.500 0.000 0.000
Pd: 0.500 0.000 0.500
Pd: 0.500 0.500 0.500
Pd: 0.756 0.244 0.245
Pd: 0.756 0.244 0.755
Pd: 0.756 0.756 0.245
Pd: 0.756 0.756 0.755
Au: 0.500 0.500 0.000